Run 1
A plane-wave DFT calculation with GGA-PBE was carried out for a geometry-optimized HfVPS2 structure.

Lattice parameters (Å, degrees): 4.8246 4.8246 5.0455 90.00 90.00 90.00
Site moments in Bohr magnetons follow the coordinates.
Positions (direct):
Hf 0.0000 0.0000 0.0000  -0.01
S 0.5000 0.0000 0.0000  0.02
P 0.0000 0.0000 0.5000  0.03
V 0.5000 0.5000 0.5000  0.11
S 0.0000 0.5000 0.0000  0.02

Calculated values
Its magnetic moment is 0.23 μB per formula unit.

Run 2
A plane-wave DFT calculation with GGA-PBE was carried out for a geometry-optimized HfVPS2 structure.

Lattice parameters (Å, degrees): 4.4078 4.4078 4.7285 90.00 90.00 90.00
Site moments in Bohr magnetons follow the coordinates.
Positions (direct):
Hf 0.5000 0.5000 0.5000  0.16
S 0.5000 0.0000 0.0000  -0.02
S 0.0000 0.5000 0.0000  -0.02
P 0.0000 0.0000 0.5000  -0.02
V 0.0000 0.0000 0.0000  0.49

Calculated values
Its magnetic moment is 0.72 μB per formula unit.

Quick ranking, most stable first: run 2, run 1.

Run 1
A plane-wave DFT calculation with GGA-PBE was carried out for a geometry-optimized HfZrP2S structure.

Lattice parameters (Å, degrees): 4.9533 4.9533 4.7494 90.00 90.00 90.00
Positions (direct):
S 0.0000 0.0000 0.5000
Zr 0.0000 0.0000 0.0000
P 0.5000 0.0000 0.0000
P 0.0000 0.5000 0.0000
Hf 0.5000 0.5000 0.5000

Calculated values
Its magnetic moment is 0.00 μB per formula unit.

Run 2
A plane-wave DFT calculation with GGA-PBE was carried out for a geometry-optimized HfZrP2S structure.

Lattice parameters (Å, degrees): 4.9204 4.9204 4.7270 90.00 90.00 90.00
Positions (direct):
Zr 0.5000 0.5000 0.5000
P 0.5000 0.0000 0.0000
S 0.0000 0.0000 0.5000
P 0.0000 0.5000 0.0000
Hf 0.0000 0.0000 0.0000

Calculated values
Its magnetic moment is 0.00 μB per formula unit.

Quick ranking, most stable first: run 2, run 1.